# 1
A geometry-optimized CsRe2Pt structure. Source: Alexandria, functional GGA-PBE.

The energy above the most stable polymorph in this dataset is 0.000 eV/atom. Its calculated density is 10.60 g/cm3.

The structure belongs to space group I-42d (No. 122); the cell edges are 4.866, 4.866 and 18.534 Å and the angles 90.00°, 90.00° and 90.00°. The inequivalent atoms are Cs at (0.000, 0.000, 0.000), Re at (0.038, 0.750, 0.625) and Pt at (0.000, 0.000, 0.500).

---

# 2
A geometry-optimized Cs2RePt structure. Source: Alexandria, functional GGA-PBE.

The energy above the most stable polymorph in this dataset is 0.776 eV/atom. Its calculated density is 8.63 g/cm3.

The structure belongs to space group Fm-3m (No. 225); the cell edges are 7.927, 7.927 and 7.927 Å and the angles 90.00°, 90.00° and 90.00°. The inequivalent atoms are Cs at (0.250, 0.250, 0.250), Re at (0.000, 0.000, 0.000) and Pt at (0.000, 0.000, 0.500).

---

# 3
A geometry-optimized CsRe3Pt structure. Source: Alexandria, functional GGA-PBE.

The energy above the most stable polymorph in this dataset is 0.000 eV/atom. Its calculated density is 12.00 g/cm3.

The structure belongs to space group Pm-3m (No. 221); the cell edges are 4.969, 4.969 and 4.969 Å and the angles 90.00°, 90.00° and 90.00°. The inequivalent atoms are Cs at (0.000, 0.000, 0.000), Re at (0.000, 0.500, 0.500) and Pt at (0.500, 0.500, 0.500).

---

What ΔH_f (0 K) values result from the calculations? In sequence: 150; 175; 247 kJ/mol of atoms.
What volume values result from the calculations? In sequence: 27.43; 31.13; 24.53 Å³/atom.